Entry from the Alexandria database: crystalline Y2TaGe3Pt4 at its relaxed geometry (GGA-PBE). Values from VASP.

The structure in Quantum ESPRESSO input format:
```
&SYSTEM
  ibrav = 0, nat = 10, ntyp = 4
/
ATOMIC_SPECIES
Ge 72.64 Ge.upf
Pt 195.08 Pt.upf
Y 88.91 Y.upf
Ta 180.95 Ta.upf
CELL_PARAMETERS angstrom
-3.428 -1.996 1.335
1.515 0.008 3.902
-4.855 9.583 1.866
ATOMIC_POSITIONS crystal
Ge 0.000 0.500 0.138
Ge 0.000 0.000 0.500
Ge 0.500 0.000 0.862
Pt 0.500 0.500 0.000
Pt 0.500 0.000 0.639
Pt 0.000 0.000 0.000
Pt 0.000 0.500 0.361
Y 0.000 0.500 0.768
Y 0.500 0.000 0.232
Ta 0.500 0.500 0.500
```

M_tot ... 0.000 μB per formula unit
Energy relative to the elements ... -82 kJ per mole of atoms
Raw total energy ... -71.3 eV per cell
Calculated density ... 11.80 g/cm3

=====

Entry from the Alexandria database: crystalline Pm4InPbN at its relaxed geometry (GGA-PBE). Values from VASP.

The structure in Quantum ESPRESSO input format:
```
&SYSTEM
  ibrav = 0, nat = 14, ntyp = 4
/
ATOMIC_SPECIES
Pm 145.00 Pm.upf
N 14.01 N.upf
Pb 207.20 Pb.upf
In 114.82 In.upf
CELL_PARAMETERS angstrom
6.918 0.000 0.000
0.000 6.920 0.000
-3.459 0.000 8.269
ATOMIC_POSITIONS crystal
Pm 0.910 0.250 0.820
Pm 0.000 0.500 0.500
Pm 0.000 0.000 0.500
Pm 0.587 0.250 0.174
Pm 0.090 0.750 0.180
Pm 0.500 0.000 0.500
Pm 0.413 0.750 0.826
Pm 0.500 0.500 0.500
N 0.751 0.250 0.502
N 0.249 0.750 0.498
Pb 0.893 0.750 0.785
Pb 0.107 0.250 0.215
In 0.389 0.250 0.777
In 0.611 0.750 0.223
```

M_tot ... 0.000 μB per formula unit
Raw total energy ... -77.9 eV per cell
Uncorrected formation energy ... -0.74 eV/atom
Calculated density ... 7.69 g/cm3

=====

Entry from the Alexandria database: crystalline BaHfCuOs2 at its relaxed geometry (GGA-PBE). Values from VASP.

The structure in Quantum ESPRESSO input format:
```
&SYSTEM
  ibrav = 0, nat = 5, ntyp = 4
/
ATOMIC_SPECIES
Os 190.23 Os.upf
Hf 178.49 Hf.upf
Cu 63.55 Cu.upf
Ba 137.33 Ba.upf
CELL_PARAMETERS angstrom
-3.397 2.846 -1.731
-1.914 -3.783 -2.464
-2.766 -1.031 3.731
ATOMIC_POSITIONS crystal
Os 0.000 0.000 0.500
Os 0.500 0.000 0.000
Hf 0.500 0.500 0.500
Cu 0.000 0.000 0.000
Ba 0.000 0.500 0.000
```

M_tot ... 0.060 μB per formula unit
Energy relative to the elements ... 160 kJ per mole of atoms
Raw total energy ... -30.2 eV per cell
Calculated density ... 11.37 g/cm3

=====

Entry from the Alexandria database: crystalline Nd2SmDy4Er at its relaxed geometry (GGA-PBE). Values from VASP.

The structure in Quantum ESPRESSO input format:
```
&SYSTEM
  ibrav = 0, nat = 8, ntyp = 4
/
ATOMIC_SPECIES
Nd 144.24 Nd.upf
Dy 162.50 Dy.upf
Er 167.26 Er.upf
Sm 150.36 Sm.upf
CELL_PARAMETERS angstrom
5.082 0.000 0.000
0.000 4.990 0.872
0.000 3.250 10.821
ATOMIC_POSITIONS crystal
Nd 0.000 0.000 0.000
Nd 0.500 0.000 0.500
Dy 0.000 0.247 0.252
Dy 0.000 0.753 0.748
Dy 0.500 0.252 0.748
Dy 0.500 0.748 0.252
Er 0.000 0.500 0.500
Sm 0.500 0.500 0.000
```

M_tot ... 0.001 μB per formula unit
Energy relative to the elements ... 2 kJ per mole of atoms
Raw total energy ... -37.1 eV per cell
Calculated density ... 8.02 g/cm3

=====

Entry from the Alexandria database: crystalline PuSc2Ag at its relaxed geometry (GGA-PBE). Values from VASP.

The structure in Quantum ESPRESSO input format:
```
&SYSTEM
  ibrav = 0, nat = 4, ntyp = 3
/
ATOMIC_SPECIES
Sc 44.96 Sc.upf
Ag 107.87 Ag.upf
Pu 244.00 Pu.upf
CELL_PARAMETERS angstrom
3.373 0.000 0.000
0.000 5.113 0.000
0.000 0.000 5.113
ATOMIC_POSITIONS crystal
Sc 0.000 0.000 0.500
Sc 0.000 0.500 0.000
Ag 0.500 0.000 0.000
Pu 0.500 0.500 0.500
```

Offset from the most stable computed form ... 0.072 eV per atom
M_tot ... 6.528 μB per formula unit
Energy relative to the elements ... 2 kJ per mole of atoms
Raw total energy ... -29.8 eV per cell
Calculated density ... 8.32 g/cm3

=====

Entry from the Alexandria database: crystalline K2LiIr at its relaxed geometry (GGA-PBE). Values from VASP.

The structure in Quantum ESPRESSO input format:
```
&SYSTEM
  ibrav = 0, nat = 4, ntyp = 3
/
ATOMIC_SPECIES
K 39.10 K.upf
Ir 192.22 Ir.upf
Li 6.94 Li.upf
CELL_PARAMETERS angstrom
-3.168 -0.524 4.892
0.542 -5.584 1.665
3.585 4.514 -1.009
ATOMIC_POSITIONS crystal
K 0.969 0.969 0.000
K 0.273 0.773 0.500
Ir 0.690 0.190 0.500
Li 0.568 0.568 0.000
```

Offset from the most stable computed form ... 0.146 eV per atom
M_tot ... 0.161 μB per formula unit
Energy relative to the elements ... 54 kJ per mole of atoms
Raw total energy ... -10.7 eV per cell
Calculated density ... 4.10 g/cm3

=====

Entry from the Alexandria database: crystalline HoAl3Rh at its relaxed geometry (GGA-PBE). Values from VASP.

The structure in Quantum ESPRESSO input format:
```
&SYSTEM
  ibrav = 0, nat = 20, ntyp = 3
/
ATOMIC_SPECIES
Al 26.98 Al.upf
Rh 102.91 Rh.upf
Ho 164.93 Ho.upf
CELL_PARAMETERS angstrom
-1.157 -3.614 -3.907
-2.678 -5.358 5.749
-6.967 3.933 -1.574
ATOMIC_POSITIONS crystal
Al 0.161 0.441 0.100
Al 0.839 0.559 0.900
Al 0.626 0.946 0.365
Al 0.374 0.054 0.635
Al 0.399 0.359 0.785
Al 0.101 0.859 0.785
Al 0.339 0.941 0.100
Al 0.661 0.059 0.900
Al 0.899 0.141 0.215
Al 0.126 0.554 0.635
Al 0.874 0.446 0.365
Al 0.601 0.641 0.215
Rh 0.150 0.152 0.952
Rh 0.850 0.848 0.048
Rh 0.650 0.348 0.048
Rh 0.350 0.652 0.952
Ho 0.884 0.213 0.630
Ho 0.116 0.787 0.370
Ho 0.616 0.713 0.630
Ho 0.384 0.287 0.370
```

Offset from the most stable computed form ... 0.000 eV per atom
M_tot ... 0.000 μB per formula unit
Energy relative to the elements ... -58 kJ per mole of atoms
Raw total energy ... -104.6 eV per cell
Calculated density ... 6.38 g/cm3

=====

Entry from the Alexandria database: crystalline NbZn2Cl at its relaxed geometry (GGA-PBE). Values from VASP.

The structure in Quantum ESPRESSO input format:
```
&SYSTEM
  ibrav = 0, nat = 4, ntyp = 3
/
ATOMIC_SPECIES
Cl 35.45 Cl.upf
Zn 65.41 Zn.upf
Nb 92.91 Nb.upf
CELL_PARAMETERS angstrom
0.000 3.336 3.336
3.336 0.000 3.336
3.336 3.336 0.000
ATOMIC_POSITIONS crystal
Cl 0.000 0.000 0.000
Zn 0.250 0.250 0.250
Zn 0.750 0.750 0.750
Nb 0.500 0.500 0.500
```

Offset from the most stable computed form ... 0.394 eV per atom
M_tot ... 0.138 μB per formula unit
Raw total energy ... -11.5 eV per cell
Uncorrected formation energy ... 0.73 eV/atom
Calculated density ... 5.79 g/cm3

=====

Entry from the Alexandria database: crystalline Pm4Nd7Th at its relaxed geometry (GGA-PBE). Values from VASP.

The structure in Quantum ESPRESSO input format:
```
&SYSTEM
  ibrav = 0, nat = 12, ntyp = 3
/
ATOMIC_SPECIES
Pm 145.00 Pm.upf
Th 232.04 Th.upf
Nd 144.24 Nd.upf
CELL_PARAMETERS angstrom
3.660 0.000 0.000
-1.830 3.170 0.000
0.000 0.000 35.999
ATOMIC_POSITIONS crystal
Pm 0.333 0.667 0.917
Pm 0.667 0.333 0.083
Pm 0.333 0.667 0.666
Pm 0.667 0.333 0.334
Th 0.000 0.000 0.500
Nd 0.667 0.333 0.833
Nd 0.000 0.000 0.251
Nd 0.000 0.000 0.000
Nd 0.000 0.000 0.749
Nd 0.333 0.667 0.420
Nd 0.333 0.667 0.167
Nd 0.667 0.333 0.580
```

Offset from the most stable computed form ... 0.000 eV per atom
M_tot ... 0.000 μB per formula unit
Energy relative to the elements ... 2 kJ per mole of atoms
Raw total energy ... -59.6 eV per cell
Calculated density ... 7.24 g/cm3

=====

Entry from the Alexandria database: crystalline HfSc2Sb at its relaxed geometry (GGA-PBE). Values from VASP.

The structure in Quantum ESPRESSO input format:
```
&SYSTEM
  ibrav = 0, nat = 4, ntyp = 3
/
ATOMIC_SPECIES
Sc 44.96 Sc.upf
Sb 121.76 Sb.upf
Hf 178.49 Hf.upf
CELL_PARAMETERS angstrom
7.480 5.138 6.228
6.918 2.549 8.172
9.105 2.326 5.730
ATOMIC_POSITIONS crystal
Sc 0.910 0.910 0.910
Sc 0.090 0.090 0.090
Sb 0.000 0.000 0.000
Hf 0.500 0.500 0.500
```

M_tot ... 0.000 μB per formula unit
Raw total energy ... -26.5 eV per cell
Uncorrected formation energy ... 0.05 eV/atom
Calculated density ... 6.39 g/cm3

=====

Entry from the Alexandria database: crystalline AcEuAgRh at its relaxed geometry (GGA-PBE). Values from VASP.

The structure in Quantum ESPRESSO input format:
```
&SYSTEM
  ibrav = 0, nat = 4, ntyp = 4
/
ATOMIC_SPECIES
Rh 102.91 Rh.upf
Eu 151.96 Eu.upf
Ag 107.87 Ag.upf
Ac 227.00 Ac.upf
CELL_PARAMETERS angstrom
-2.279 -4.451 1.715
2.644 -3.251 3.223
-1.442 -0.449 5.066
ATOMIC_POSITIONS crystal
Rh 0.750 0.750 0.750
Eu 0.000 0.000 0.000
Ag 0.250 0.250 0.250
Ac 0.500 0.500 0.500
```

M_tot ... 7.116 μB per formula unit
Energy relative to the elements ... -36 kJ per mole of atoms
Raw total energy ... -26.1 eV per cell
Calculated density ... 9.37 g/cm3

=====

Entry from the Alexandria database: crystalline Y2ZrAg2 at its relaxed geometry (GGA-PBE). Values from VASP.

The structure in Quantum ESPRESSO input format:
```
&SYSTEM
  ibrav = 0, nat = 10, ntyp = 3
/
ATOMIC_SPECIES
Y 88.91 Y.upf
Ag 107.87 Ag.upf
Zr 91.22 Zr.upf
CELL_PARAMETERS angstrom
-1.851 1.196 7.924
3.672 -7.102 1.930
3.143 1.753 0.470
ATOMIC_POSITIONS crystal
Y 0.171 0.671 0.500
Y 0.829 0.329 0.500
Y 0.671 0.829 0.500
Y 0.329 0.171 0.500
Ag 0.373 0.873 0.000
Ag 0.127 0.373 0.000
Ag 0.873 0.627 0.000
Ag 0.627 0.127 0.000
Zr 0.000 0.000 0.000
Zr 0.500 0.500 0.000
```

Offset from the most stable computed form ... 0.000 eV per atom
M_tot ... 0.000 μB per formula unit
Energy relative to the elements ... -9 kJ per mole of atoms
Raw total energy ... -55.3 eV per cell
Calculated density ... 6.56 g/cm3